(1)
Here is an optimized crystal structure of TlV3Cl from the Alexandria database. Energies are from GGA-PBE.

Its energy above the lowest structure with this stoichiometry is 0.0 kJ per mole of atoms. The calculation puts the formation energy (no corrections) at 0.527 eV/atom.

POSCAR file:
```
TlV3Cl
1.0
4.332 0.000 0.000
0.000 4.332 0.000
0.000 0.000 4.332
V Tl Cl
3 1 1
Cartesian
0.000 0.000 2.166
0.000 2.166 0.000
2.166 0.000 0.000
2.166 2.166 2.166
0.000 0.000 0.000
```

(2)
Here is an optimized crystal structure of Tl4VCl5 from the Alexandria database. Energies are from GGA-PBE.

The calculation puts the formation energy (no corrections) at -0.818 eV/atom.

POSCAR file:
```
Tl4VCl5
1.0
-3.776 -4.589 1.349
3.059 -5.220 4.570
-4.174 1.215 6.212
Cl V Tl
5 1 4
Cartesian
-0.845 -4.897 8.527
-1.691 -2.055 0.604
-4.052 -3.704 3.607
-6.057 -4.716 8.318
1.160 -3.885 3.815
-0.149 -0.182 0.053
-3.393 -6.952 8.285
-3.548 -3.155 7.004
-1.536 -1.689 3.860
-1.381 -5.486 5.141
```